## LiCa2Si3 (PBE)

Data for an optimized crystal structure of LiCa2Si3.

Structure (CIF):
```
data_LiCa2Si3
_space_group_name_H-M_alt 'F m m m'
_space_group_IT_number 69
_space_group_name_Hall '-F 2 2'
_cell_length_a 8.379
_cell_length_b 8.446
_cell_length_c 14.422
_cell_angle_alpha 90.00
_cell_angle_beta 90.00
_cell_angle_gamma 90.00
loop_
_atom_site_label
_atom_site_type_symbol
_atom_site_fract_x
_atom_site_fract_y
_atom_site_fract_z
_atom_site_occupancy
Li1 Li 0.000 0.000 0.167 1
Ca1 Ca 0.000 0.246 0.500 1
Ca2 Ca 0.250 0.250 0.250 1
Si1 Si 0.000 0.000 0.338 1
Si2 Si 0.246 0.000 0.419 1
```

Properties
relative energy among the computed polymorphs = 0.026 eV/atom
DFT total energy = -4.132 eV per atom
formation energy (no corrections) = -0.43 eV/atom
DOS at the Fermi energy = 7.040 states/eV/cell


## La3TbTm7 (PBE)

Data for an optimized crystal structure of La3TbTm7.

Structure (CIF):
```
data_La3TbTm7
_space_group_name_H-M_alt 'P 3 m 1'
_space_group_IT_number 156
_cell_length_a 7.0315
_cell_length_b 7.0315
_cell_length_c 8.7187
_cell_angle_alpha 90.00
_cell_angle_beta 90.00
_cell_angle_gamma 120.00
loop_
_space_group_symop_operation_xyz
'x,y,z'
'-y,x-y,z'
'-x+y,-x,z'
'-y,-x,z'
'-x+y,y,z'
'x,x-y,z'
loop_
_atom_site_label
_atom_site_type_symbol
_atom_site_fract_x
_atom_site_fract_y
_atom_site_fract_z
_atom_site_occupancy
La1 La 0.9995 0.4998 0.0000 1
Tb1 Tb 0.3333 0.6667 0.6588 1
Tm1 Tm 0.1671 0.3341 0.3403 1
Tm2 Tm 0.3343 0.1672 0.6580 1
Tm3 Tm 0.6667 0.3333 0.3408 1
```

Properties
relative energy among the computed polymorphs = 0.011 eV/atom
DFT total energy = -4.434 eV per atom
DOS at the Fermi energy = 17.448 states/eV/cell